! CeNiP2 | Alexandria via LeMat-Bulk | GGA-PBE | optimized geometry; values from VASP
&SYSTEM
  ibrav = 0, nat = 16, ntyp = 3
/
ATOMIC_SPECIES
Ce 140.12 Ce.upf
P 30.97 P.upf
Ni 58.69 Ni.upf
ATOMIC_POSITIONS crystal
Ce 0.2500 0.7883 0.1399
Ce 0.2500 0.2883 0.3601
Ce 0.7500 0.2117 0.8601
Ce 0.7500 0.7117 0.6399
P 0.2500 0.4114 0.6698
P 0.2500 0.3871 0.0398
P 0.7500 0.6129 0.9602
P 0.7500 0.1129 0.5398
P 0.2500 0.9114 0.8302
P 0.7500 0.0886 0.1698
P 0.7500 0.5886 0.3302
P 0.2500 0.8871 0.4602
Ni 0.7500 0.9076 0.3593
Ni 0.2500 0.5924 0.8593
Ni 0.2500 0.0924 0.6407
Ni 0.7500 0.4076 0.1407
CELL_PARAMETERS angstrom
-1.1639 -3.5047 1.6026
6.2544 -2.7810 -1.5396
3.4477 2.8803 8.8028
! M_tot ... 0.12 μB per formula unit
! ρ ... 6205 kg/m3
! Total DFT energy (no corrections) ... -26.7 eV per formula unit
! Energy relative to the elements ... -4.2 eV/f.u.